Here is crystalline ZnGa2Fe at its relaxed geometry from Alexandria. Energies are from PBE.

Properties
Energy relative to the elements (kJ/mol of atoms): 29.3
Calculated volume (A^3/atom): 16.236
Calculated total energy (eV/atom): -3.644
Magnetization (μB/atom): 0.568

Structure (CIF):
```
data_ZnGa2Fe
_cell_length_a 7.048
_cell_length_b 7.048
_cell_length_c 5.230
_cell_angle_alpha 90.00
_cell_angle_beta 90.00
_cell_angle_gamma 90.00
_symmetry_space_group_name_H-M 'I -4 2 d'
_symmetry_Int_Tables_number 122
_symmetry_space_group_name_Hall 'I -4 2bw'
loop_
_atom_site_label
_atom_site_type_symbol
_atom_site_fract_x
_atom_site_fract_y
_atom_site_fract_z
Zn1 Zn 0.000 0.000 0.000
Ga1 Ga 0.237 0.250 0.625
Fe1 Fe 0.000 0.000 0.500
```